An optimized crystal structure of AlNiIO2, computed with PBE with a Hubbard U.

Cell: 3.9016 3.9016 5.3546 Å, 90.00 90.00 90.00°
With the nearest neighbours (Å) after each atom.
Space group P4/mmm (No. 123)
Unique sites:
Al 0.0000 0.0000 0.0000 (multiplicity 1)  4 I 2.76
Ni 0.5000 0.5000 0.5000 (multiplicity 1)  4 O 1.95
I 0.5000 0.5000 0.0000 (multiplicity 1)  2 Ni 2.68, 4 Al 2.76
O 0.0000 0.5000 0.5000 (multiplicity 2)  2 Ni 1.95

Computed properties:
- Total DFT energy (no corrections): -3.301 eV per atom